## Rb2ZnCrO (GGA+U)

Data for Rb2ZnCrO after structural relaxation.

Results
Uncorrected energy in eV/cell: -15.7
D(E_F) in states/eV per cell: 1.7

Unit cell a=7.0512 b=7.0512 c=3.7254 alpha=90.00 beta=90.00 gamma=90.00
Last column: nearest neighbours and their distance in Å.
Space group P4/mmm (No. 123)
Unique sites:
Rb1 0.0000 0.5000 0.0000  2 Zn 3.53, 2 Rb 3.73
Zn1 0.0000 0.0000 0.0000  2 O 1.86
Cr1 0.5000 0.5000 0.5000  2 Cr 3.73, 8 Rb 3.99
O1 0.0000 0.0000 0.5000  2 Zn 1.86